No. 1
# Rb3DySc2Te6, relaxed, DFT PBE-GGA
# Formation energy from raw total energies, eV/atom: -1.28
data_Rb3DySc2Te6
_cell_length_a 7.630
_cell_length_b 13.214
_cell_length_c 8.881
_cell_angle_alpha 90.00
_cell_angle_beta 106.67
_cell_angle_gamma 90.00
_space_group_name_H-M_alt 'C 1 2/m 1'
_space_group_IT_number 12
loop_
_space_group_symop_operation_xyz
'x,y,z'
'-x,-y,-z'
'-x,y,-z'
'x,-y,z'
'x+1/2,y+1/2,z'
'-x+1/2,-y+1/2,-z'
'-x+1/2,y+1/2,-z'
'x+1/2,-y+1/2,z'
loop_
_atom_site_label
_atom_site_type_symbol
_atom_site_fract_x
_atom_site_fract_y
_atom_site_fract_z
Rb1 Rb 0.000 0.000 0.000
Rb2 Rb 0.000 0.337 0.000
Dy1 Dy 0.000 0.500 0.500
Sc1 Sc 0.000 0.167 0.500
Te1 Te 0.219 0.000 0.692
Te2 Te 0.237 0.328 0.693


No. 2
# HfCr2Ga2, relaxed, DFT PBE-GGA
# Relative energy among the computed polymorphs, meV per atom: 0
# Energy relative to the elements, eV/atom: -0.03
data_HfCr2Ga2
_cell_length_a 7.133
_cell_length_b 7.133
_cell_length_c 3.032
_cell_angle_alpha 90.00
_cell_angle_beta 90.00
_cell_angle_gamma 90.00
_space_group_name_H-M_alt 'P 4/m b m'
_space_group_IT_number 127
_space_group_name_Hall '-P 4 2ab'
loop_
_atom_site_label
_atom_site_type_symbol
_atom_site_fract_x
_atom_site_fract_y
_atom_site_fract_z
Hf1 Hf 0.000 0.000 0.000
Cr1 Cr 0.175 0.325 0.500
Ga1 Ga 0.125 0.625 0.000


No. 3
# TmSc2Pa, relaxed, DFT PBE-GGA
# Relative energy among the computed polymorphs, meV per atom: 12
# Energy relative to the elements, eV/atom: 0.08
data_TmSc2Pa
_cell_length_a 3.3143
_cell_length_b 3.3143
_cell_length_c 32.4293
_cell_angle_alpha 90.00
_cell_angle_beta 90.00
_cell_angle_gamma 120.00
_space_group_name_H-M_alt 'R -3 m'
_space_group_IT_number 166
_space_group_name_Hall '-R 3 2"'
loop_
_atom_site_label
_atom_site_type_symbol
_atom_site_fract_x
_atom_site_fract_y
_atom_site_fract_z
Tm1 Tm 0.0000 0.0000 0.0000
Sc1 Sc 0.0000 0.0000 0.2463
Pa1 Pa 0.0000 0.0000 0.5000


No. 4
# Ca3Ta, relaxed, DFT PBE-GGA
# Relative energy among the computed polymorphs, meV per atom: 131
# Energy relative to the elements, eV/atom: 0.69
data_Ca3Ta
_cell_length_a 3.328
_cell_length_b 5.434
_cell_length_c 6.941
_cell_angle_alpha 90.00
_cell_angle_beta 102.66
_cell_angle_gamma 90.00
_space_group_name_H-M_alt 'P 1 2/m 1'
_space_group_IT_number 10
loop_
_space_group_symop_operation_xyz
'x,y,z'
'-x,-y,-z'
'-x,y,-z'
'x,-y,z'
loop_
_atom_site_label
_atom_site_type_symbol
_atom_site_fract_x
_atom_site_fract_y
_atom_site_fract_z
Ca1 Ca 0.000 0.000 0.000
Ca2 Ca 0.260 0.500 0.725
Ta1 Ta 0.500 0.000 0.500


No. 5
# Zr3P4Rh4, relaxed, DFT PBE-GGA
# Energy relative to the elements, eV/atom: -1.08
data_Zr3P4Rh4
_cell_length_a 3.897
_cell_length_b 6.802
_cell_length_c 12.756
_cell_angle_alpha 90.00
_cell_angle_beta 90.00
_cell_angle_gamma 90.00
_space_group_name_H-M_alt 'I m m m'
_space_group_IT_number 71
_space_group_name_Hall '-I 2 2'
loop_
_atom_site_label
_atom_site_type_symbol
_atom_site_fract_x
_atom_site_fract_y
_atom_site_fract_z
Zr1 Zr 0.000 0.000 0.000
Zr2 Zr 0.000 0.500 0.118
P1 P 0.000 0.000 0.216
P2 P 0.000 0.200 0.500
Rh1 Rh 0.000 0.296 0.326


No. 6
# ZnTeAu2, relaxed, DFT PBE-GGA
# Formation energy from raw total energies, eV/atom: 0.06
# Relative energy among the computed polymorphs, meV per atom: 140
data_ZnTeAu2
_cell_length_a 3.029
_cell_length_b 3.744
_cell_length_c 7.117
_cell_angle_alpha 90.00
_cell_angle_beta 90.00
_cell_angle_gamma 90.00
_space_group_name_H-M_alt 'P m m m'
_space_group_IT_number 47
loop_
_space_group_symop_operation_xyz
'x,y,z'
'-x,-y,-z'
'-x,-y,z'
'x,y,-z'
'x,-y,-z'
'-x,y,z'
'-x,y,-z'
'x,-y,z'
loop_
_atom_site_label
_atom_site_type_symbol
_atom_site_fract_x
_atom_site_fract_y
_atom_site_fract_z
Zn1 Zn 0.000 0.000 0.000
Te1 Te 0.000 0.000 0.500
Au1 Au 0.500 0.500 0.201


No. 7
# CaZnIn2, relaxed, DFT PBE-GGA
# Energy relative to the elements, eV/atom: -0.20
data_CaZnIn2
_cell_length_a 3.475
_cell_length_b 4.897
_cell_length_c 5.967
_cell_angle_alpha 90.00
_cell_angle_beta 90.06
_cell_angle_gamma 90.00
_space_group_name_H-M_alt 'P 1 m 1'
_space_group_IT_number 6
loop_
_space_group_symop_operation_xyz
'x,y,z'
'x,-y,z'
loop_
_atom_site_label
_atom_site_type_symbol
_atom_site_fract_x
_atom_site_fract_y
_atom_site_fract_z
Ca1 Ca 0.000 0.000 0.000
Zn1 Zn 0.497 0.500 0.763
In1 In 0.500 0.000 0.522
In2 In 0.501 0.500 0.237


No. 8
# Ge3WN, relaxed, DFT PBE-GGA
# Formation energy from raw total energies, eV/atom: 1.30
# Relative energy among the computed polymorphs, meV per atom: 314
data_Ge3WN
_cell_length_a 4.906
_cell_length_b 4.906
_cell_length_c 4.906
_cell_angle_alpha 90.00
_cell_angle_beta 90.00
_cell_angle_gamma 90.00
_space_group_name_H-M_alt 'P m -3 m'
_space_group_IT_number 221
_space_group_name_Hall '-P 4 2 3'
loop_
_atom_site_label
_atom_site_type_symbol
_atom_site_fract_x
_atom_site_fract_y
_atom_site_fract_z
Ge1 Ge 0.000 0.000 0.500
W1 W 0.000 0.000 0.000
N1 N 0.500 0.500 0.500


No. 9
# SbPdSe3, relaxed, DFT PBE-GGA
# Formation energy from raw total energies, eV/atom: 0.27
# Relative energy among the computed polymorphs, meV per atom: 498
data_SbPdSe3
_cell_length_a 4.939
_cell_length_b 4.939
_cell_length_c 4.939
_cell_angle_alpha 90.00
_cell_angle_beta 90.00
_cell_angle_gamma 90.00
_space_group_name_H-M_alt 'P m -3 m'
_space_group_IT_number 221
_space_group_name_Hall '-P 4 2 3'
loop_
_atom_site_label
_atom_site_type_symbol
_atom_site_fract_x
_atom_site_fract_y
_atom_site_fract_z
Sb1 Sb 0.000 0.000 0.000
Pd1 Pd 0.500 0.500 0.500
Se1 Se 0.000 0.500 0.500


No. 10
# CaFe2Ir, relaxed, DFT PBE-GGA
# Energy relative to the elements, eV/atom: 0.36
data_CaFe2Ir
_cell_length_a 4.521
_cell_length_b 4.521
_cell_length_c 3.018
_cell_angle_alpha 90.00
_cell_angle_beta 90.00
_cell_angle_gamma 90.00
_space_group_name_H-M_alt 'P 4/m m m'
_space_group_IT_number 123
_space_group_name_Hall '-P 4 2'
loop_
_atom_site_label
_atom_site_type_symbol
_atom_site_fract_x
_atom_site_fract_y
_atom_site_fract_z
Ca1 Ca 0.000 0.000 0.000
Fe1 Fe 0.000 0.500 0.500
Ir1 Ir 0.500 0.500 0.000


No. 11
# Ca2BIrI, relaxed, DFT PBE-GGA
# Formation energy from raw total energies, eV/atom: -0.52
data_Ca2BIrI
_cell_length_a 5.456
_cell_length_b 5.456
_cell_length_c 3.988
_cell_angle_alpha 90.00
_cell_angle_beta 90.00
_cell_angle_gamma 90.00
_space_group_name_H-M_alt 'P 4/m m m'
_space_group_IT_number 123
_space_group_name_Hall '-P 4 2'
loop_
_atom_site_label
_atom_site_type_symbol
_atom_site_fract_x
_atom_site_fract_y
_atom_site_fract_z
Ca1 Ca 0.000 0.500 0.000
B1 B 0.000 0.000 0.000
Ir1 Ir 0.000 0.000 0.500
I1 I 0.500 0.500 0.500


No. 12
VASP calculation (PBE-GGA) on PH6Pd12 after structural relaxation.

```
data_PH6Pd12
_cell_length_a 9.2839
_cell_length_b 9.2839
_cell_length_c 9.1478
_cell_angle_alpha 90.00
_cell_angle_beta 90.00
_cell_angle_gamma 120.00
_space_group_name_H-M_alt 'R -3'
_space_group_IT_number 148
_space_group_name_Hall '-R 3'
loop_
_atom_site_label
_atom_site_type_symbol
_atom_site_fract_x
_atom_site_fract_y
_atom_site_fract_z
P1 P 0.0000 0.0000 0.0000
H1 H 0.0192 0.8009 0.5729
Pd1 Pd 0.0033 0.7951 0.8745
Pd2 Pd 0.0138 0.8299 0.3689
```


No. 13
# LaPRh, relaxed, DFT PBE-GGA
# Energy relative to the elements, eV/atom: -0.68
data_LaPRh
_cell_length_a 6.452
_cell_length_b 6.452
_cell_length_c 6.452
_cell_angle_alpha 90.00
_cell_angle_beta 90.00
_cell_angle_gamma 90.00
_space_group_name_H-M_alt 'F -4 3 m'
_space_group_IT_number 216
_space_group_name_Hall 'F -4 2 3'
loop_
_atom_site_label
_atom_site_type_symbol
_atom_site_fract_x
_atom_site_fract_y
_atom_site_fract_z
La1 La 0.000 0.000 0.000
P1 P 0.250 0.250 0.750
Rh1 Rh 0.000 0.000 0.500


No. 14
# Re5Mo, relaxed, DFT PBE-GGA
# Relative energy among the computed polymorphs, meV per atom: 19
# Energy relative to the elements, eV/atom: 0.10
data_Re5Mo
_cell_length_a 3.937
_cell_length_b 11.841
_cell_length_c 3.911
_cell_angle_alpha 90.00
_cell_angle_beta 90.00
_cell_angle_gamma 90.00
_space_group_name_H-M_alt 'C m m m'
_space_group_IT_number 65
_space_group_name_Hall '-C 2 2'
loop_
_atom_site_label
_atom_site_type_symbol
_atom_site_fract_x
_atom_site_fract_y
_atom_site_fract_z
Re1 Re 0.000 0.000 0.000
Re2 Re 0.000 0.171 0.500
Re3 Re 0.000 0.331 0.000
Mo1 Mo 0.000 0.500 0.500


No. 15
# LiThSc2Cd4, relaxed, DFT PBE-GGA
# Energy relative to the elements, eV/atom: -0.17
data_LiThSc2Cd4
_cell_length_a 5.0231
_cell_length_b 5.0231
_cell_length_c 25.7639
_cell_angle_alpha 90.00
_cell_angle_beta 90.00
_cell_angle_gamma 120.00
_space_group_name_H-M_alt 'R -3 m'
_space_group_IT_number 166
_space_group_name_Hall '-R 3 2"'
loop_
_atom_site_label
_atom_site_type_symbol
_atom_site_fract_x
_atom_site_fract_y
_atom_site_fract_z
Li1 Li 0.0000 0.0000 0.0000
Th1 Th 0.0000 0.0000 0.5000
Sc1 Sc 0.0000 0.0000 0.2520
Cd1 Cd 0.0000 0.0000 0.1112
Cd2 Cd 0.0000 0.0000 0.3701


Q: Which total energy values were calculated for the entries above? A: -54.40, -35.39, -26.32, -15.11, -88.61, -10.72, -9.55, -28.62, -18.40, -26.35, -23.70, -88.99, -19.73, -72.50, -26.99, in eV per formula unit.
Q: Which total magnetic moment values were calculated for the entries above? A: 0.0, 6.1, 0.0, 2.4, 0.0, 0.0, 0.0, 3.0, 0.0, 5.5, 0.0, 0.0, 0.0, 0.0, 0.0, in μB/cell.